1.
First-principles (PBE) data for crystalline GdCdGe at its relaxed geometry, as listed in Alexandria.

Values from the calculation:
- VASP energy (eV per atom) = -6.94
- space-group type = No. 216
- DOS(E_F) (states/eV/f.u.) = 3.11
- spin magnetization (μB/f.u.) = 7.08

Cell lengths 4.750, 4.750, 4.750 Å; angles 60.00, 60.00, 60.00 degrees
Each line ends with the local moment (μB).
Positions (direct):
Ge: 0.250 0.250 0.250  -0.03
Gd: 0.000 0.000 0.000  7.00
Cd: 0.500 0.500 0.500  -0.02

=====

2.
First-principles (PBE) data for crystalline Mn2BeFeH at its relaxed geometry, as listed in Alexandria.

Values from the calculation:
- VASP energy (eV per atom) = -6.76
- space-group type = No. 123
- DOS(E_F) (states/eV/f.u.) = 3.42
- spin magnetization (μB/f.u.) = 5.21

Cell lengths 3.585, 3.585, 3.494 Å; angles 90.00, 90.00, 90.00 degrees
Each line ends with the local moment (μB).
Positions (direct):
Be: 0.500 0.500 0.500  -0.10
Mn: 0.000 0.500 0.000  1.87
Mn: 0.500 0.000 0.000  1.87
Fe: 0.000 0.000 0.500  1.55
H: 0.000 0.000 0.000  -0.02

=====

3.
First-principles (PBE) data for crystalline CaScNi2P2 at its relaxed geometry, as listed in Alexandria.

Values from the calculation:
- VASP energy (eV per atom) = -6.17
- space-group type = No. 164
- DOS(E_F) (states/eV/f.u.) = 3.19
- spin magnetization (μB/f.u.) = 0.00

Cell lengths 3.836, 3.836, 7.731 Å; angles 90.00, 90.00, 120.00 degrees
Positions (direct):
Ca: 0.000 0.000 0.000
Sc: 0.000 0.000 0.500
Ni: 0.333 0.667 0.725
Ni: 0.667 0.333 0.275
P: 0.333 0.667 0.270
P: 0.667 0.333 0.730

=====

4.
First-principles (PBE) data for crystalline Ca2CeErAs4 at its relaxed geometry, as listed in Alexandria.

Values from the calculation:
- VASP energy (eV per atom) = -5.38
- space-group type = No. 10
- DOS(E_F) (states/eV/f.u.) = 7.34
- spin magnetization (μB/f.u.) = 0.00

Cell lengths 4.215, 7.263, 7.266 Å; angles 109.66, 90.00, 90.00 degrees
Positions (direct):
Ca: 0.500 0.000 0.500
Ca: 0.000 0.500 0.500
Ce: 0.000 0.000 0.000
Er: 0.500 0.500 0.000
As: 0.500 0.247 0.235
As: 0.500 0.753 0.765
As: 0.000 0.257 0.765
As: 0.000 0.743 0.235

=====

5.
First-principles (PBE) data for crystalline YAlB2 at its relaxed geometry, as listed in Alexandria.

Values from the calculation:
- VASP energy (eV per atom) = -5.69
- space-group type = No. 141
- DOS(E_F) (states/eV/f.u.) = 1.43
- spin magnetization (μB/f.u.) = 0.00

Cell lengths 4.190, 4.190, 7.613 Å; angles 74.02, 74.02, 90.00 degrees
Positions (direct):
Y: 0.000 0.000 0.000
Y: 0.750 0.250 0.500
B: 0.375 0.125 0.250
B: 0.375 0.625 0.250
B: 0.375 0.625 0.750
B: 0.875 0.625 0.750
Al: 0.500 0.500 0.000
Al: 0.250 0.750 0.500

=====

6.
First-principles (PBE) data for crystalline Na2Li2Sn3 at its relaxed geometry, as listed in Alexandria.

Values from the calculation:
- VASP energy (eV per atom) = -2.86
- space-group type = No. 12
- DOS(E_F) (states/eV/f.u.) = 2.47
- spin magnetization (μB/f.u.) = 0.00

Cell lengths 4.626, 5.635, 7.833 Å; angles 110.68, 90.00, 114.23 degrees
Positions (direct):
Na: 0.864 0.728 0.223
Na: 0.136 0.272 0.777
Li: 0.857 0.714 0.815
Li: 0.143 0.286 0.185
Sn: 0.500 0.000 0.000
Sn: 0.635 0.270 0.440
Sn: 0.365 0.730 0.560